[1]
The following is a PBE-GGA calculation of crystalline Dy2Y3In4 at its relaxed geometry, from Alexandria via LeMat-Bulk.

* polymorph energy (0 for the lowest one): 1.434 eV/f.u.
* VASP energy: -83.93 eV per cell
* formation energy: -25.9 kJ/mol of atoms
* ρ: 6.6 Mg/m³
* space-group type: Cmce, No. 64

a = 7.0580 Å, b = 9.6135 Å, c = 8.5760 Å
α = 90.00°, β = 114.30°, γ = 90.00°
With the nearest neighbours (Å) after each atom.
Atoms (fractional coordinates):
Y 0.5347 0.7500 0.5694  5 In 3.12-3.21
Dy 0.1076 0.5495 0.2152  3 In 3.18-3.22, 1 Dy 3.50
Y 0.0347 0.7500 0.5694  5 In 3.12-3.21
In 0.6942 0.5267 0.3884  5 Y 3.05-3.21, 1 Dy 3.18
In 0.7633 0.2500 0.0265  3 Y 2.99-3.16, 2 Dy 3.22
In 0.8058 0.0267 0.6116  5 Y 3.05-3.21, 1 Dy 3.18
Dy 0.8924 0.4505 0.7848  3 In 3.18-3.22, 1 Dy 3.50
In 0.2633 0.2500 0.0265  3 Y 2.99-3.16, 2 Dy 3.22
In 0.1942 0.9733 0.3884  5 Y 3.05-3.21, 1 Dy 3.18
Y 0.4653 0.2500 0.4306  5 In 3.12-3.21
Dy 0.6076 0.9505 0.2152  3 In 3.18-3.22, 1 Dy 3.50
In 0.7367 0.7500 0.9735  3 Y 2.99-3.16, 2 Dy 3.22
In 0.3058 0.4733 0.6116  5 Y 3.05-3.21, 1 Dy 3.18
Y 0.9653 0.2500 0.4306  5 In 3.12-3.21
Dy 0.3924 0.0495 0.7848  3 In 3.18-3.22, 1 Dy 3.50
In 0.2367 0.7500 0.9735  3 Y 2.99-3.16, 2 Dy 3.22
Y 0.0000 0.0000 0.0000  6 In 2.99-3.05
Y 0.5000 0.5000 0.0000  6 In 2.99-3.05

[2]
The following is a PBE-GGA calculation of crystalline Dy2YIn at its relaxed geometry, from Alexandria via LeMat-Bulk.

* polymorph energy (0 for the lowest one): 0.170 eV/f.u.
* VASP energy: -38.63 eV per cell
* formation energy: -21.9 kJ/mol of atoms
* ρ: 7.4 Mg/m³
* space-group type: Cmcm, No. 63

a = 5.2665 Å, b = 3.7246 Å, c = 12.2508 Å
α = 81.22°, β = 90.00°, γ = 90.00°
With the nearest neighbours (Å) after each atom.
Atoms (fractional coordinates):
Dy 0.2500 0.4555 0.0890  10 Dy 3.35-3.72, 2 In 3.40
Dy 0.7500 0.9181 0.1637  2 In 3.27, 6 Dy 3.35-3.58, 2 Y 3.56
In 0.2500 0.8375 0.3239  5 Y 3.17-3.41, 4 Dy 3.27-3.40
Y 0.2500 0.7074 0.5855  5 In 3.17-3.41
Y 0.7500 0.2926 0.4145  5 In 3.17-3.41
Dy 0.7500 0.5445 0.9110  10 Dy 3.35-3.72, 2 In 3.40
In 0.7500 0.1625 0.6761  5 Y 3.17-3.41, 4 Dy 3.27-3.40
Dy 0.2500 0.0819 0.8363  2 In 3.27, 6 Dy 3.35-3.58, 2 Y 3.56

[3]
The following is a PBE-GGA calculation of crystalline Dy2YIn at its relaxed geometry, from Alexandria via LeMat-Bulk.

* polymorph energy (0 for the lowest one): 0.000 eV/f.u.
* VASP energy: -19.48 eV per cell
* formation energy: -26.0 kJ/mol of atoms
* ρ: 7.7 Mg/m³
* space-group type: P4/mmm, No. 123

a = 4.8713 Å, b = 4.8385 Å, c = 4.8385 Å
α = 90.00°, β = 90.00°, γ = 90.00°
With the nearest neighbours (Å) after each atom.
Atoms (fractional coordinates):
Dy 0.0000 0.5000 0.0000  4 Dy 3.42, 4 In 3.43, 4 Y 3.43
Dy 0.0000 0.0000 0.5000  4 Dy 3.42, 4 In 3.43, 4 Y 3.43
In 0.5000 0.5000 0.5000  4 Y 3.42, 8 Dy 3.43
Y 0.5000 0.0000 0.0000  4 In 3.42, 8 Dy 3.43

[4]
The following is a PBE-GGA calculation of crystalline Dy3Y2In at its relaxed geometry, from Alexandria via LeMat-Bulk.

* polymorph energy (0 for the lowest one): 2.230 eV/f.u.
* VASP energy: -28.22 eV per cell
* formation energy: 20.2 kJ/mol of atoms
* ρ: 6.9 Mg/m³
* space-group type: Immm, No. 71

a = 6.4072 Å, b = 5.7484 Å, c = 6.6642 Å
α = 115.55°, β = 118.73°, γ = 90.00°
With the nearest neighbours (Å) after each atom.
Atoms (fractional coordinates):
In 0.5000 0.1240 0.0000  2 Y 3.19, 6 Dy 3.20-3.27
Dy 0.6527 0.7767 0.3055  1 Dy 3.11, 4 Y 3.22-3.31, 2 In 3.27
Dy 0.0000 0.1236 0.0000  2 In 3.20, 4 Y 3.44, 2 Dy 3.53
Dy 0.3473 0.4712 0.6945  1 Dy 3.11, 4 Y 3.22-3.31, 2 In 3.27
Y 0.1863 0.8101 0.3727  1 In 3.19, 6 Dy 3.22-3.44
Y 0.8137 0.4374 0.6273  1 In 3.19, 6 Dy 3.22-3.44